No. 1
Entry from Alexandria: a geometry-optimized Ca2SnHgIr structure (GGA-PBE).

Values from the calculation:
Magnetization: 0.00 μB/f.u.
ΔE_f: -36.9 kJ per mole of atoms
Calculated total energy: -3.82 eV/atom
Space group: No. 123
D(E_F): 2.4 states/eV/cell

abc: 5.5545 5.5545 5.0348
angles: 90.00 90.00 90.00
Fractional coordinates of all 5 atoms:
1 Sn 0.0000 0.0000 0.5000
2 Ca 0.5000 0.0000 0.0000
3 Ca 0.0000 0.5000 0.0000
4 Hg 0.5000 0.5000 0.5000
5 Ir 0.0000 0.0000 0.0000

---

No. 2
Entry from Alexandria: a geometry-optimized Sr2Ca6HgIr structure (GGA-PBE).

Values from the calculation:
Magnetization: 0.00 μB/f.u.
ΔE_f: -20.0 kJ per mole of atoms
Calculated total energy: -2.66 eV/atom
Space group: No. 225
D(E_F): 6.4 states/eV/cell

abc: 8.2766 8.2766 8.2766
angles: 60.00 60.00 90.00
Fractional coordinates of all 10 atoms:
1 Sr 0.2500 0.7500 0.5000
2 Sr 0.7500 0.2500 0.5000
3 Ca 0.7366 0.7366 0.5267
4 Ca 0.7367 0.2633 0.0000
5 Ca 0.2634 0.2634 0.0000
6 Ca 0.7366 0.7366 0.0000
7 Ca 0.2633 0.7367 0.0000
8 Ca 0.2634 0.2634 0.4733
9 Hg 0.0000 0.0000 0.0000
10 Ir 0.5000 0.5000 0.0000